(1)
Here is a relaxed Li2ZnTc crystal from Alexandria via LeMat-Bulk. Energies are from PBE-GGA.

Computed properties:
The calculation puts the total energy at -15.1 eV per formula unit. The formation energy is 0.4 eV per formula unit. The value obtained for the density of states at the Fermi level is 0.6675 states/eV/atom.

Unit cell a=5.3368 b=9.2962 c=2.5006 alpha=90.00 beta=114.16 gamma=90.00
Closest atoms and distances in Å follow each position.
Space group C2/m (No. 12)
One atom of each set of equivalent atoms:
1 Li 0.2500 0.2500 0.0000 [4 per cell]  4 Li 2.50-2.67, 2 Tc 2.72, 2 Zn 2.72
2 Zn 0.0000 0.0000 0.5000 [2 per cell]  2 Zn 2.50, 2 Tc 2.67, 4 Li 2.72
3 Tc 0.0000 0.5000 0.5000 [2 per cell]  2 Tc 2.50, 2 Zn 2.67, 4 Li 2.72

***

(2)
Here is a relaxed Ac2La12Nd5 crystal from Alexandria via LeMat-Bulk. Energies are from PBE-GGA.

Computed properties:
The calculation puts the total energy at -89.4 eV per formula unit. The formation energy is 1.7 eV per formula unit. The value obtained for the density of states at the Fermi level is 1.5406 states/eV/atom. The polymorph energy (0 for the lowest one) is 5 meV/atom.

Unit cell a=18.6106 b=11.9852 c=6.4916 alpha=90.00 beta=101.40 gamma=90.00
Closest atoms and distances in Å follow each position.
Space group C2/m (No. 12)
One atom of each set of equivalent atoms:
1 Ac 0.0000 0.2151 0.0000 [4 per cell]  8 La 3.51-3.91
2 La 0.0817 0.0000 0.3638 [4 per cell]  3 La 3.48-3.81, 3 Nd 3.50-3.78, 2 Ac 3.62
3 La 0.1031 0.2597 0.6096 [8 per cell]  3 Nd 3.46-3.71, 4 La 3.48-3.82, 1 Ac 3.51
4 La 0.1037 0.5000 0.0232 [4 per cell]  5 La 3.53-3.94, 2 Nd 3.56-3.72, 2 Ac 3.91
5 La 0.2054 0.2593 0.2096 [8 per cell]  5 La 3.46-3.81, 4 Nd 3.62-3.81, 1 Ac 3.83
6 Nd 0.0000 0.5000 0.5000 [2 per cell]  6 La 3.46-3.56
7 Nd 0.1722 0.0000 0.8907 [4 per cell]  8 La 3.50-3.81, 1 Nd 3.73
8 Nd 0.2163 0.5000 0.5647 [4 per cell]  9 La 3.62-3.97, 3 Nd 3.73-3.96

***

(3)
Here is a relaxed Au2SeCl crystal from Alexandria via LeMat-Bulk. Energies are from PBE-GGA.

Computed properties:
The calculation puts the total energy at -11.4 eV per formula unit. The value obtained for the density of states at the Fermi level is 0.3938 states/eV/atom. The polymorph energy (0 for the lowest one) is 152 meV/atom. As for the uncorrected formation energy: 0.13 eV per atom.

Unit cell a=4.2121 b=3.5317 c=6.4215 alpha=90.00 beta=90.49 gamma=90.00
Closest atoms and distances in Å follow each position.
Space group P2/m (No. 10)
One atom of each set of equivalent atoms:
1 Au 0.1525 0.0000 0.3019 [2 per cell]  2 Se 2.62, 2 Cl 2.70, 1 Au 2.86
2 Se 0.5000 0.5000 0.5000 [1 per cell]  4 Au 2.62
3 Cl 0.0000 0.5000 0.0000 [1 per cell]  4 Au 2.70

***

(4)
Here is a relaxed Tb2TcHg crystal from Alexandria via LeMat-Bulk. Energies are from PBE-GGA.

Computed properties:
The calculation puts the total energy at -17.9 eV per formula unit. The formation energy is 2.0 eV per formula unit. The value obtained for the density of states at the Fermi level is 1.1280 states/eV/atom.

Unit cell a=3.2470 b=3.2470 c=32.0443 alpha=90.00 beta=90.00 gamma=120.00
Closest atoms and distances in Å follow each position.
Space group R-3m (No. 166, hexagonal axes)
One atom of each set of equivalent atoms:
1 Tb 0.0000 0.0000 0.0825 [6 per cell]  1 Tc 2.64
2 Tc 0.0000 0.0000 0.0000 [3 per cell]  2 Tb 2.64
3 Hg 0.0000 0.0000 0.5000 [3 per cell]  6 Hg 3.25, 6 Tb 3.29